# 1
MgTiS2N | Alexandria via LeMat-Bulk | GGA-PBE | relaxed; raw formation energy = -0.49 eV/atom; size of the total moment = 0.8 Bohr magnetons per cell
1.0
4.844 0.000 0.000
0.000 4.844 0.000
0.000 0.000 3.783
S N Mg Ti
2 1 1 1
direct
0.000 0.500 0.000
0.500 0.000 0.000
0.000 0.000 0.500
0.500 0.500 0.500
0.000 0.000 0.000

---

# 2
MgTiSN2 | Alexandria via LeMat-Bulk | GGA-PBE | relaxed; raw formation energy = 0.84 eV/atom; size of the total moment = 0.3 Bohr magnetons per cell
1.0
-0.549 -0.929 3.677
3.668 -1.075 0.276
1.229 4.534 1.329
S N Mg Ti
1 2 1 1
direct
0.000 0.000 0.500
0.000 0.500 0.000
0.500 0.000 0.000
0.000 0.000 0.000
0.500 0.500 0.500

---

# 3
MgVS2N | Alexandria via LeMat-Bulk | GGA-PBE | relaxed; raw formation energy = 0.91 eV/atom; size of the total moment = 0.2 Bohr magnetons per cell
1.0
4.690 0.000 0.000
0.000 4.690 0.000
0.000 0.000 3.767
S N Mg V
2 1 1 1
direct
0.000 0.500 0.000
0.500 0.000 0.000
0.000 0.000 0.500
0.000 0.000 0.000
0.500 0.500 0.500

---

# 4
MgVS2N | Alexandria via LeMat-Bulk | GGA-PBE | relaxed; raw formation energy = -0.38 eV/atom; size of the total moment = 0.0 Bohr magnetons per cell
1.0
-0.648 -4.706 -0.250
4.572 -0.689 1.119
-0.869 -0.067 3.510
S N Mg V
2 1 1 1
direct
0.000 0.500 0.000
0.500 0.000 0.000
0.000 0.000 0.500
0.500 0.500 0.500
0.000 0.000 0.000